TlSbOs3 | PBE | relaxed

The structure belongs to space group Pm-3m (No. 221); the cell edges are 4.858, 4.858 and 4.858 Å and the angles 90.00°, 90.00° and 90.00°. The distinct sites, in fractional coordinates, are Tl at (0.000, 0.000, 0.000), Sb at (0.500, 0.500, 0.500) and Os at (0.000, 0.500, 0.500).

Tl2SbOs | PBE | relaxed

The structure belongs to space group Pmmm (No. 47); the cell edges are 3.457, 5.086 and 5.155 Å and the angles 90.00°, 90.00° and 90.00°. The distinct sites, in fractional coordinates, are Tl at (0.000, 0.000, 0.000), Tl at (0.500, 0.500, 0.000), Sb at (0.000, 0.500, 0.500) and Os at (0.500, 0.000, 0.500).

The value obtained for the energy above the most stable polymorph in this dataset is 0.592 eV/atom.

Number 1: raw formation energy 2.3281 eV/atom. Number 2: raw formation energy 0.9293 eV/atom.